# 1
CsScCl2: relaxed, PBE.

The uncorrected formation energy is -0.893 eV per atom. The space-group type is No. 225. The value obtained for the total energy is -3.61 eV/atom. The value obtained for the density of states at the Fermi level is 0.67 states/eV per atom.

```
4
Lattice="5.4537 0.0000 0.0000 2.7268 4.7230 0.0000 2.7268 1.5743 4.4529" Properties=species:S:1:pos:R:3 pbc="T T T"
Cs 5.4537 3.1487 2.2265
Sc 0.0000 0.0000 0.0000
Cl 2.7268 1.5743 1.1132
Cl 8.1805 4.7230 3.3397
```

# 2
CsSc3Cl: relaxed, PBE.

The uncorrected formation energy is 1.447 eV per atom. The space-group type is No. 221. The value obtained for the total energy is -2.89 eV/atom. The value obtained for the density of states at the Fermi level is 1.29 states/eV per atom.

```
5
Lattice="5.4236 0.0000 0.0000 0.0000 5.4236 0.0000 0.0000 0.0000 5.4236" Properties=species:S:1:pos:R:3 pbc="T T T"
Cs 0.0000 0.0000 0.0000
Sc 0.0000 2.7118 0.0000
Sc 0.0000 0.0000 2.7118
Sc 2.7118 0.0000 0.0000
Cl 2.7118 2.7118 2.7118
```

# 3
CsSc3Cl: relaxed, PBE.

The uncorrected formation energy is 0.305 eV per atom. The space-group type is No. 221. The value obtained for the total energy is -4.03 eV/atom. The value obtained for the density of states at the Fermi level is 1.89 states/eV per atom.

```
5
Lattice="5.1743 0.0000 0.0000 0.0000 5.1743 0.0000 0.0000 0.0000 5.1743" Properties=species:S:1:pos:R:3 pbc="T T T"
Cs 2.5871 2.5871 2.5871
Sc 0.0000 2.5871 0.0000
Sc 0.0000 0.0000 2.5871
Sc 2.5871 0.0000 0.0000
Cl 0.0000 0.0000 0.0000
```

# 4
CsScCl2: relaxed, PBE.

The uncorrected formation energy is -1.216 eV per atom. The space-group type is No. 122. The value obtained for the total energy is -3.94 eV/atom. The value obtained for the density of states at the Fermi level is 1.03 states/eV per atom.

```
8
Lattice="-4.1797 -4.6790 1.7873 1.9486 0.6254 6.1943 -6.3384 3.0697 5.1192" Properties=species:S:1:pos:R:3 pbc="T T T"
Cs 0.0000 0.0000 0.0000
Cs -5.8168 -1.8180 5.4487
Sc -1.1156 -2.0268 3.9908
Sc -2.7526 0.8342 7.6522
Cl -3.2939 -1.3405 2.8892
Cl -1.5486 -0.1648 5.6567
Cl -5.2830 0.8809 7.8099
Cl -7.0135 -1.3433 9.8460
```

# 5
Cs2ScCl5: relaxed, PBE.

The uncorrected formation energy is -2.115 eV per atom. The space-group type is No. 123. The value obtained for the total energy is -4.27 eV/atom. The value obtained for the density of states at the Fermi level is 0.00 states/eV per atom.

```
8
Lattice="5.0866 0.0000 0.0000 0.0000 7.6518 0.0000 0.0000 0.0000 7.6518" Properties=species:S:1:pos:R:3 pbc="T T T"
Cs 2.5433 3.8259 0.0000
Cs 2.5433 0.0000 3.8259
Sc 0.0000 0.0000 0.0000
Cl 0.0000 5.8964 5.8964
Cl 0.0000 1.7555 5.8964
Cl 0.0000 5.8964 1.7555
Cl 2.5433 0.0000 0.0000
Cl 0.0000 1.7555 1.7555
```

# 6
CsSc2Cl: relaxed, PBE.

The uncorrected formation energy is 0.646 eV per atom. The space-group type is No. 225. The value obtained for the total energy is -3.20 eV/atom. The value obtained for the density of states at the Fermi level is 2.15 states/eV per atom.

```
4
Lattice="-4.2455 -1.5937 2.8792 -3.2312 3.6452 2.2640 -4.9676 0.7380 -1.9058" Properties=species:S:1:pos:R:3 pbc="T T T"
Cs -6.2222 1.3948 1.6187
Sc -3.1111 0.6974 0.8093
Sc -9.3332 2.0922 2.4280
Cl 0.0000 0.0000 0.0000
```

# 7
Cs3Sc2Cl7: relaxed, PBE.

The uncorrected formation energy is -1.910 eV per atom. The space-group type is No. 65. The value obtained for the total energy is -4.26 eV/atom. The value obtained for the density of states at the Fermi level is 0.39 states/eV per atom.

```
12
Lattice="-4.8252 1.7801 0.3168 -0.6527 -2.5742 4.5220 4.8687 12.3607 4.6983" Properties=species:S:1:pos:R:3 pbc="T T T"
Cs -2.7390 -0.3970 2.4194
Cs -1.0765 3.6559 4.9665
Cs 0.4672 7.9108 4.5707
Sc 3.3547 7.6868 7.9007
Sc 0.8613 2.0997 1.3196
Cl 3.6889 8.9933 5.6519
Cl 2.4969 5.5957 6.5865
Cl 0.0000 0.0000 0.0000
Cl 0.5270 0.7933 3.5684
Cl -1.5567 2.9767 1.4698
Cl 0.9474 8.5900 8.0674
Cl 1.7190 4.1908 2.6337
```

# 8
Cs2ScCl5: relaxed, PBE.

The uncorrected formation energy is -2.120 eV per atom. The space-group type is No. 62. The value obtained for the total energy is -4.28 eV/atom. The value obtained for the density of states at the Fermi level is 0.00 states/eV per atom.

```
32
Lattice="-5.2679 -5.1289 -0.4204 3.5302 -4.2619 7.7590 -9.0364 8.5589 8.8126" Properties=species:S:1:pos:R:3 pbc="T T T"
Cs -4.7124 -3.6083 6.3168
Cs -6.0618 2.7764 9.8344
Cs -5.0135 1.3244 14.4129
Cs -5.7607 -2.1563 1.7383
Cs -6.2689 -2.4180 11.2993
Cs -4.5053 1.5861 4.8519
Cs 0.2828 -3.4080 5.7833
Cs -11.0570 2.5762 10.3679
Sc -9.4921 0.6425 14.3487
Sc -1.2821 -1.4744 1.8025
Sc -2.8812 -0.4190 8.9629
Sc -7.8930 -0.4129 7.1883
Cl -2.2002 -6.1603 5.9720
Cl -8.5740 5.3284 10.1792
Cl -3.8282 0.3742 11.1518
Cl -6.9460 -1.2061 4.9994
Cl -8.2578 2.0677 12.8116
Cl -2.5165 -2.8996 3.3396
Cl -3.1441 -2.7643 9.5525
Cl 0.0412 -0.4094 3.5437
Cl -7.6301 1.9324 6.5987
Cl -10.8154 -0.4225 12.6075
Cl -10.1878 -0.5578 6.3946
Cl -0.5864 -0.2741 9.7567
Cl -2.6340 -2.5645 -0.2102
Cl -5.3871 -0.4159 8.0756
Cl 0.0000 0.0000 0.0000
Cl -2.7531 2.1485 8.2858
Cl -7.7795 -1.1183 14.3711
Cl -2.9947 0.2865 1.7801
Cl -2.2354 -0.8919 6.6405
Cl -8.5388 0.0600 9.5107
```

# 9
CsScCl4: relaxed, PBE.

The uncorrected formation energy is -2.080 eV per atom. The space-group type is No. 12. The value obtained for the total energy is -4.51 eV/atom. The value obtained for the density of states at the Fermi level is 0.00 states/eV per atom.

```
12
Lattice="6.2142 0.0000 -0.9971 0.0000 7.5876 0.0000 -2.9838 -3.7938 9.5565" Properties=species:S:1:pos:R:3 pbc="T T T"
Cs 3.4842 3.7938 5.2866
Cs -0.2538 0.0000 3.2728
Sc 1.3460 3.7938 1.4414
Sc 1.8845 0.0000 7.1180
Cl 0.1105 3.7938 3.4395
Cl 0.3575 -1.7752 6.7020
Cl 0.0000 2.1586 0.0000
Cl 2.8729 2.0186 1.8573
Cl 3.1199 0.0000 5.1199
Cl 2.8729 5.5690 1.8573
Cl 0.0000 5.4291 0.0000
Cl 0.3575 1.7752 6.7020
```

# 10
CsSc4Cl12: relaxed, PBE.

The uncorrected formation energy is -2.018 eV per atom. The space-group type is No. 204. The value obtained for the total energy is -4.86 eV/atom. The value obtained for the density of states at the Fermi level is 0.36 states/eV per atom.

```
17
Lattice="8.5093 0.0000 0.0000 -2.8364 8.0226 0.0000 -2.8364 -4.0113 6.9478" Properties=species:S:1:pos:R:3 pbc="T T T"
Cs 0.0000 0.0000 0.0000
Sc -1.4182 4.0113 0.0000
Sc 4.2546 0.0000 0.0000
Sc 1.4182 2.0057 3.4739
Sc -1.4182 -2.0057 3.4739
Cl 5.7000 1.9865 0.6256
Cl 0.5108 3.1603 1.4075
Cl 5.1621 -1.2122 4.9147
Cl -0.0271 -2.4763 5.5402
Cl -2.3257 5.2235 2.0331
Cl 2.3257 0.8510 5.5402
Cl 2.8093 0.4515 2.0331
Cl 0.0271 3.5598 4.9147
Cl 2.8635 6.4876 1.4075
Cl 3.3472 3.6501 3.5071
Cl -0.5108 0.3612 3.4407
Cl -2.8636 2.0248 6.3222
```

# 11
Cs4ScCl7: relaxed, PBE.

The uncorrected formation energy is -1.820 eV per atom. The space-group type is No. 12. The value obtained for the total energy is -3.71 eV/atom.

```
12
Lattice="-4.5630 1.4091 -1.3814 -6.8261 -8.2428 5.1937 -2.5674 6.6687 6.3377" Properties=species:S:1:pos:R:3 pbc="T T T"
Cs -5.5404 3.3921 3.8700
Cs -8.4161 -3.5571 6.2800
Cs -9.9469 1.5812 7.6326
Cs -4.0096 -1.7462 2.5174
Sc 0.0000 0.0000 0.0000
Cl -11.0065 -1.8214 7.6618
Cl -2.9499 1.6564 2.4882
Cl -6.0197 -6.0802 4.7364
Cl -7.9367 5.9152 5.4136
Cl -6.7896 2.1642 6.7438
Cl -2.2815 0.7046 -0.6907
Cl -7.1668 -2.3292 3.4062
```

# 12
CsSc2Cl: relaxed, PBE.

The uncorrected formation energy is -0.125 eV per atom. The space-group type is No. 166. The value obtained for the total energy is -3.97 eV/atom. The value obtained for the density of states at the Fermi level is 0.90 states/eV per atom.

```
4
Lattice="1.8536 8.4919 5.5061 0.6739 6.2685 8.1312 4.1604 6.1759 7.1004" Properties=species:S:1:pos:R:3 pbc="T T T"
Cs 0.0000 0.0000 0.0000
Sc 5.9036 18.4811 18.3058
Sc 0.7843 2.4551 2.4318
Cl 3.3439 10.4681 10.3688
```